#i
## TlBrN2 (PBE)

Data for TlBrN2 after structural relaxation.

It has space group I-42d (No. 122), with a = 4.8620 Å, b = 4.8620 Å, c = 12.2287 Å, α = 90.00°, β = 90.00° and γ = 90.00°. Symmetry generates all atoms from Tl at (0.0000, 0.0000, 0.0000), Br at (0.0000, 0.0000, 0.5000) and N at (0.2221, 0.2500, 0.6250).

As for the density of states at the Fermi level: 0.5 states/eV/cell.

***

#ii
## TlBrN2 (PBE)

Data for TlBrN2 after structural relaxation.

It has space group Fm-3m (No. 225), with a = 6.2338 Å, b = 6.2338 Å, c = 6.2338 Å, α = 90.00°, β = 90.00° and γ = 90.00°. Symmetry generates all atoms from Tl at (0.0000, 0.0000, 0.0000), Br at (0.0000, 0.0000, 0.5000) and N at (0.2500, 0.2500, 0.2500).

As for the density of states at the Fermi level: 12.4 states/eV/cell.

***

What are the relative energies? In eV/atom: #i 0.000; #ii 0.603.

***

#i
## VBr2N (PBE)

Data for VBr2N after structural relaxation.

It has space group R-3m (No. 166, hexagonal axes), with a = 3.8361 Å, b = 3.8361 Å, c = 30.1961 Å, α = 90.00°, β = 90.00° and γ = 120.00°. Symmetry generates all atoms from V at (0.0000, 0.0000, 0.0000), Br at (0.0000, 0.0000, 0.3812) and N at (0.0000, 0.0000, 0.5000).

As for the density of states at the Fermi level: 13.3 states/eV/cell.

***

#ii
## VBr2N (PBE)

Data for VBr2N after structural relaxation.

It has space group I-42d (No. 122), with a = 7.6805 Å, b = 7.6805 Å, c = 8.7229 Å, α = 90.00°, β = 90.00° and γ = 90.00°. Symmetry generates all atoms from V at (0.0000, 0.0000, 0.0000), Br at (0.1533, 0.2500, 0.1250) and N at (0.0000, 0.0000, 0.5000).

As for the density of states at the Fermi level: 8.8 states/eV/cell.

***

#iii
## VBr2N (PBE)

Data for VBr2N after structural relaxation.

It has space group Fm-3m (No. 225), with a = 6.7608 Å, b = 6.7608 Å, c = 6.7608 Å, α = 90.00°, β = 90.00° and γ = 90.00°. Symmetry generates all atoms from V at (0.0000, 0.0000, 0.0000), Br at (0.2500, 0.2500, 0.2500) and N at (0.0000, 0.0000, 0.5000).

As for the density of states at the Fermi level: 11.4 states/eV/cell.

***

What are the relative energies? In eV/atom: #i 0.000; #ii 0.204; #iii 0.441.

***

#i
## WBrN2 (PBE)

Data for WBrN2 after structural relaxation.

It has space group Fd-3m (No. 227, origin choice 2), with a = 8.6032 Å, b = 8.6032 Å, c = 8.6032 Å, α = 90.00°, β = 90.00° and γ = 90.00°. Symmetry generates all atoms from W at (0.1250, 0.1250, 0.1250), Br at (0.1250, 0.1250, 0.6250) and N at (0.0000, 0.0000, 0.0000).

As for the density of states at the Fermi level: 28.9 states/eV/cell.

***

#ii
## WBrN2 (PBE)

Data for WBrN2 after structural relaxation.

It has space group R-3m (No. 166, hexagonal axes), with a = 3.0779 Å, b = 3.0779 Å, c = 19.8883 Å, α = 90.00°, β = 90.00° and γ = 120.00°. Symmetry generates all atoms from W at (0.0000, 0.0000, 0.0000), Br at (0.0000, 0.0000, 0.5000) and N at (0.0000, 0.0000, 0.3896).

As for the density of states at the Fermi level: 8.7 states/eV/cell.

***

#iii
## WBrN2 (PBE)

Data for WBrN2 after structural relaxation.

It has space group Fm-3m (No. 225), with a = 5.6021 Å, b = 5.6021 Å, c = 5.6021 Å, α = 90.00°, β = 90.00° and γ = 90.00°. Symmetry generates all atoms from W at (0.0000, 0.0000, 0.0000), Br at (0.0000, 0.0000, 0.5000) and N at (0.2500, 0.2500, 0.2500).

As for the density of states at the Fermi level: 7.6 states/eV/cell.

***

What are the relative energies? In eV/atom: #i 0.000; #ii 0.298; #iii 1.802.

***

#i
## WBr2N (PBE)

Data for WBr2N after structural relaxation.

It has space group R-3m (No. 166, hexagonal axes), with a = 3.2852 Å, b = 3.2852 Å, c = 31.4474 Å, α = 90.00°, β = 90.00° and γ = 120.00°. Symmetry generates all atoms from W at (0.0000, 0.0000, 0.0000), Br at (0.0000, 0.0000, 0.0755) and N at (0.0000, 0.0000, 0.5000).

As for the density of states at the Fermi level: 6.7 states/eV/cell.

***

#ii
## WBr2N (PBE)

Data for WBr2N after structural relaxation.

It has space group I-42d (No. 122), with a = 6.1648 Å, b = 6.1648 Å, c = 8.5815 Å, α = 90.00°, β = 90.00° and γ = 90.00°. Symmetry generates all atoms from W at (0.0000, 0.0000, 0.0000), Br at (0.2451, 0.2500, 0.6250) and N at (0.0000, 0.0000, 0.5000).

As for the density of states at the Fermi level: 21.7 states/eV/cell.

***

What are the relative energies? In eV/atom: #i 0.000; #ii 0.242.

***

#i
## W2BrN (PBE)

Data for W2BrN after structural relaxation.

It has space group Fm-3m (No. 225), with a = 5.9884 Å, b = 5.9884 Å, c = 5.9884 Å, α = 90.00°, β = 90.00° and γ = 90.00°. Symmetry generates all atoms from W at (0.2500, 0.2500, 0.2500), Br at (0.0000, 0.0000, 0.0000) and N at (0.0000, 0.0000, 0.5000).

As for the density of states at the Fermi level: 11.1 states/eV/cell.

***

#ii
## W2BrN (PBE)

Data for W2BrN after structural relaxation.

It has space group I-42d (No. 122), with a = 4.5362 Å, b = 4.5362 Å, c = 13.0159 Å, α = 90.00°, β = 90.00° and γ = 90.00°. Symmetry generates all atoms from W at (0.1488, 0.2500, 0.1250), Br at (0.0000, 0.0000, 0.5000) and N at (0.0000, 0.0000, 0.0000).

As for the density of states at the Fermi level: 7.1 states/eV/cell.

***

What are the relative energies? In eV/atom: #i 0.857; #ii 0.000.

***

#i
## ZnBr2N (PBE)

Data for ZnBr2N after structural relaxation.

It has space group Pm (No. 6), with a = 6.6058 Å, b = 3.7864 Å, c = 9.2964 Å, α = 90.00°, β = 103.96° and γ = 90.00°. Symmetry generates all atoms from Zn at (0.0000, 0.0000, 0.0000), Zn at (0.5001, 0.5000, 0.0010), Br at (0.2218, 0.5000, 0.1655), Br at (0.2786, 0.0000, 0.8357), Br at (0.7221, 0.0000, 0.1655), Br at (0.7783, 0.5000, 0.8355), N at (0.5038, 0.0000, 0.5038) and N at (0.9993, 0.5000, 0.4976).

As for the density of states at the Fermi level: 0.0 states/eV/cell.

***

#ii
## ZnBr2N (PBE)

Data for ZnBr2N after structural relaxation.

It has space group I-42d (No. 122), with a = 5.0357 Å, b = 5.0357 Å, c = 14.0799 Å, α = 90.00°, β = 90.00° and γ = 90.00°. Symmetry generates all atoms from Zn at (0.0000, 0.0000, 0.0000), Br at (0.2143, 0.2500, 0.6250) and N at (0.0000, 0.0000, 0.5000).

As for the density of states at the Fermi level: 8.7 states/eV/cell.

***

What are the relative energies? In eV/atom: #i 0.000; #ii 0.384.